A plane-wave DFT calculation with PBE was carried out for a relaxed structure of PrHo8Sc2.

Raw total energy = -4.7419 eV per atom
V = 31.31 A^3/atom
E_form = 0.17 eV per atom
M_tot = 0.000 μB/atom
Crystal system = monoclinic
Calculated density = 7.48 g/cm3

Unit cell a=9.1225 b=16.7894 c=5.8435 alpha=90.00 beta=129.69 gamma=90.00
Space group C2/m (No. 12)
Inequivalent atoms, fractional coordinates:
Pr1 0.0000 0.0000 0.0000 x2
Ho1 0.0000 0.2024 0.0000 x4
Ho2 0.0025 0.5000 0.7429 x4
Ho3 0.2305 0.1339 0.7292 x8
Sc1 0.0000 0.3131 0.5000 x4

***

A plane-wave DFT calculation with PBE was carried out for a relaxed structure of Sr3Ca5.

Raw total energy = -1.8663 eV per atom
V = 46.57 A^3/atom
E_form = 0.02 eV per atom
M_tot = 0.000 μB/atom
Crystal system = tetragonal
Calculated density = 2.06 g/cm3

Unit cell a=5.7514 b=5.7514 c=11.2627 alpha=90.00 beta=90.00 gamma=90.00
Space group P4mm (No. 99)
Inequivalent atoms, fractional coordinates:
Sr1 0.0000 0.0000 0.0000 x1
Sr2 0.0000 0.5000 0.2689 x2
Ca1 0.0000 0.0000 0.5251 x1
Ca2 0.0000 0.5000 0.7555 x2
Ca3 0.5000 0.5000 0.5257 x1
Ca4 0.5000 0.5000 0.9983 x1

***

A plane-wave DFT calculation with PBE was carried out for a relaxed structure of Sm3P2Pt7.

Raw total energy = -6.6030 eV per atom
V = 18.79 A^3/atom
E_form = -1.00 eV per atom
M_tot = 0.000 μB/atom
Crystal system = monoclinic
Calculated density = 13.83 g/cm3

Unit cell a=4.1845 b=4.0697 c=13.3950 alpha=90.00 beta=98.71 gamma=90.00
Space group P2/m (No. 10)
Inequivalent atoms, fractional coordinates:
Sm1 0.0000 0.0000 0.0000 x1
Sm2 0.3198 0.5000 0.6419 x2
P1 0.1320 0.0000 0.2669 x2
Pt1 0.0932 0.5000 0.1759 x2
Pt2 0.2213 0.0000 0.4389 x2
Pt3 0.4137 0.0000 0.8309 x2
Pt4 0.5000 0.5000 0.0000 x1

***

A plane-wave DFT calculation with PBE was carried out for a relaxed structure of MgZnRu2.

Raw total energy = -5.3091 eV per atom
V = 14.57 A^3/atom
E_form = 0.05 eV per atom
M_tot = 0.000 μB/atom
Crystal system = cubic
Calculated density = 8.31 g/cm3

Unit cell a=6.1547 b=6.1547 c=6.1547 alpha=90.00 beta=90.00 gamma=90.00
Space group F-43m (No. 216)
Inequivalent atoms, fractional coordinates:
Mg1 0.0000 0.0000 0.0000 x4
Zn1 0.2500 0.2500 0.2500 x4
Ru1 0.0000 0.0000 0.5000 x4
Ru2 0.2500 0.2500 0.7500 x4

***

A plane-wave DFT calculation with PBE was carried out for a relaxed structure of BaZnCu2S.

Raw total energy = -3.1010 eV per atom
V = 25.17 A^3/atom
M_tot = 0.000 μB/atom
Crystal system = tetragonal
Calculated density = 4.78 g/cm3
Formation energy (no corrections) = 2 meV/atom

Unit cell a=4.5566 b=4.5566 c=6.0604 alpha=90.00 beta=90.00 gamma=90.00
Space group P4/mmm (No. 123)
Inequivalent atoms, fractional coordinates:
Ba1 0.0000 0.0000 0.0000 x1
Zn1 0.5000 0.5000 0.0000 x1
Cu1 0.0000 0.5000 0.5000 x2
S1 0.0000 0.0000 0.5000 x1

***

A plane-wave DFT calculation with PBE was carried out for a relaxed structure of Ce2PrEr6Tm3.

Raw total energy = -4.7369 eV per atom
V = 30.76 A^3/atom
E_form = 0.05 eV per atom
M_tot = 0.150 μB/atom
Crystal system = monoclinic
Calculated density = 8.69 g/cm3

Unit cell a=11.6886 b=10.5482 c=6.0774 alpha=90.00 beta=99.90 gamma=90.00
Space group C2/m (No. 12)
Inequivalent atoms, fractional coordinates:
Ce1 0.0000 0.1616 0.0000 x4
Pr1 0.0000 0.5000 0.0000 x2
Er1 0.2474 0.0000 0.2483 x4
Er2 0.2492 0.1680 0.7534 x8
Tm1 0.0000 0.0000 0.5000 x2
Tm2 0.0000 0.3308 0.5000 x4

***

A plane-wave DFT calculation with PBE was carried out for a relaxed structure of Sr2H3Rh.

Raw total energy = -3.9198 eV per atom
V = 18.84 A^3/atom
M_tot = 0.000 μB/atom
Crystal system = monoclinic
Calculated density = 4.13 g/cm3

Unit cell a=9.1095 b=6.0010 c=9.0685 alpha=90.00 beta=114.22 gamma=90.00
Space group C2/c (No. 15)
Inequivalent atoms, fractional coordinates:
Sr1 0.1272 0.2408 0.1226 x8
H1 0.0000 0.4837 0.2500 x4
H2 0.1121 0.1947 0.6407 x8
Rh1 0.0000 0.2353 0.7500 x4

***

A plane-wave DFT calculation with PBE was carried out for a relaxed structure of PmEr2Th.

Raw total energy = -5.3111 eV per atom
V = 31.91 A^3/atom
E_form = 0.01 eV per atom
M_tot = 0.000 μB/atom
Crystal system = trigonal
Calculated density = 9.26 g/cm3

Unit cell a=3.5836 b=3.5836 c=34.4255 alpha=90.00 beta=90.00 gamma=120.00
Space group R3m (No. 160, hexagonal axes)
Inequivalent atoms, fractional coordinates:
Pm1 0.0000 0.0000 0.0000 x3
Er1 0.0000 0.0000 0.5805 x3
Er2 0.0000 0.0000 0.7516 x3
Th1 0.0000 0.0000 0.1659 x3

***

A plane-wave DFT calculation with PBE was carried out for a relaxed structure of PmAgBi2.

Raw total energy = -4.0687 eV per atom
V = 28.18 A^3/atom
E_form = -0.23 eV per atom
M_tot = 0.000 μB/atom
Crystal system = cubic
Calculated density = 9.88 g/cm3

Unit cell a=7.6682 b=7.6682 c=7.6682 alpha=90.00 beta=90.00 gamma=90.00
Space group Fm-3m (No. 225)
Inequivalent atoms, fractional coordinates:
Pm1 0.0000 0.0000 0.0000 x4
Ag1 0.0000 0.0000 0.5000 x4
Bi1 0.2500 0.2500 0.2500 x8

***

A plane-wave DFT calculation with PBE was carried out for a relaxed structure of K2CaZn2S4.

Raw total energy = -3.8308 eV per atom
V = 24.46 A^3/atom
M_tot = 0.000 μB/atom
Crystal system = monoclinic
Calculated density = 2.85 g/cm3
Formation energy (no corrections) = -1247 meV/atom

Unit cell a=15.3337 b=3.9819 c=7.6634 alpha=90.00 beta=109.80 gamma=90.00
Space group C2/m (No. 12)
Inequivalent atoms, fractional coordinates:
K1 0.1236 0.0000 0.0436 x4
Ca1 0.0000 0.0000 0.5000 x2
Zn1 0.1717 0.5000 0.4768 x4
S1 0.0250 0.5000 0.2639 x4
S2 0.2079 0.0000 0.6703 x4

***

A plane-wave DFT calculation with PBE was carried out for a relaxed structure of NaHfTe3Au.

Raw total energy = -4.6780 eV per atom
V = 28.26 A^3/atom
M_tot = 0.000 μB/atom
Crystal system = monoclinic
Calculated density = 7.65 g/cm3
Formation energy (no corrections) = -682 meV/atom

Unit cell a=8.3358 b=4.1294 c=10.3328 alpha=90.00 beta=107.58 gamma=90.00
Space group P2_1/m (No. 11)
Inequivalent atoms, fractional coordinates:
Na1 0.2421 0.2500 0.2819 x2
Hf1 0.3043 0.7500 0.8194 x2
Te1 0.0783 0.2500 0.8634 x2
Te2 0.2890 0.7500 0.5406 x2
Te3 0.4314 0.7500 0.1274 x2
Au1 0.0906 0.2500 0.6023 x2

***

A plane-wave DFT calculation with PBE was carried out for a relaxed structure of Na3Tb3BiS8.

Raw total energy = -5.1292 eV per atom
V = 24.87 A^3/atom
M_tot = 0.000 μB/atom
Crystal system = trigonal
Calculated density = 4.50 g/cm3
Formation energy (no corrections) = -1479 meV/atom

Unit cell a=7.9917 b=7.9917 c=20.2353 alpha=90.00 beta=90.00 gamma=120.00
Space group R-3m (No. 166, hexagonal axes)
Inequivalent atoms, fractional coordinates:
Na1 0.0000 0.5000 0.0000 x9
Tb1 0.0000 0.5000 0.5000 x9
Bi1 0.0000 0.0000 0.5000 x3
S1 0.0000 0.0000 0.2418 x6
S2 0.0023 0.5012 0.2420 x18

***

A plane-wave DFT calculation with PBE was carried out for a relaxed structure of Tb4Sb6Rh7.

Raw total energy = -6.4643 eV per atom
V = 20.04 A^3/atom
M_tot = 0.000 μB/atom
Crystal system = cubic
Calculated density = 10.17 g/cm3
Formation energy (no corrections) = -893 meV/atom

Unit cell a=8.7995 b=8.7995 c=8.7995 alpha=90.00 beta=90.00 gamma=90.00
Space group Im-3m (No. 229)
Inequivalent atoms, fractional coordinates:
Tb1 0.2500 0.2500 0.2500 x8
Sb1 0.0000 0.0000 0.3172 x12
Rh1 0.0000 0.0000 0.0000 x2
Rh2 0.0000 0.2500 0.5000 x12

***

A plane-wave DFT calculation with PBE was carried out for a relaxed structure of RbNdBeO3.

Raw total energy = -6.5832 eV per atom
V = 17.58 A^3/atom
M_tot = 0.000 μB/atom
Crystal system = monoclinic
Calculated density = 4.51 g/cm3
Formation energy (no corrections) = -2527 meV/atom

Unit cell a=7.6929 b=3.5526 c=8.0705 alpha=90.00 beta=107.00 gamma=90.00
Space group P2_1/m (No. 11)
Inequivalent atoms, fractional coordinates:
Rb1 0.2180 0.2500 0.1862 x2
Nd1 0.1740 0.2500 0.6569 x2
Be1 0.3954 0.7500 0.9411 x2
O1 0.1453 0.7500 0.4565 x2
O2 0.1870 0.7500 0.8624 x2
O3 0.4728 0.2500 0.8712 x2

***

A plane-wave DFT calculation with PBE was carried out for a relaxed structure of Ce2InCu.

Raw total energy = -4.8446 eV per atom
V = 24.73 A^3/atom
E_form = -0.17 eV per atom
M_tot = 0.394 μB/atom
Crystal system = tetragonal
Calculated density = 7.70 g/cm3

Unit cell a=3.7612 b=3.7612 c=6.9913 alpha=90.00 beta=90.00 gamma=90.00
Space group P4/mmm (No. 123)
Inequivalent atoms, fractional coordinates:
Ce1 0.0000 0.0000 0.2033 x2
In1 0.5000 0.5000 0.5000 x1
Cu1 0.5000 0.5000 0.0000 x1

***

A plane-wave DFT calculation with PBE was carried out for a relaxed structure of BaCo2SeCl.

Raw total energy = -3.0310 eV per atom
V = 34.81 A^3/atom
M_tot = 0.706 μB/atom
Crystal system = tetragonal
Calculated density = 3.53 g/cm3
Formation energy (no corrections) = 1262 meV/atom

Unit cell a=5.6320 b=5.6320 c=5.4875 alpha=90.00 beta=90.00 gamma=90.00
Space group P4/mmm (No. 123)
Inequivalent atoms, fractional coordinates:
Ba1 0.0000 0.0000 0.0000 x1
Co1 0.0000 0.5000 0.0000 x2
Se1 0.5000 0.5000 0.5000 x1
Cl1 0.0000 0.0000 0.5000 x1

***

A plane-wave DFT calculation with PBE was carried out for a relaxed structure of Na3Pm3PuS8.

Raw total energy = -6.0799 eV per atom
V = 25.86 A^3/atom
M_tot = 0.267 μB/atom
Crystal system = trigonal
Calculated density = 4.30 g/cm3
Formation energy (no corrections) = -1709 meV/atom

Unit cell a=8.1756 b=8.1756 c=20.1048 alpha=90.00 beta=90.00 gamma=120.00
Space group R-3m (No. 166, hexagonal axes)
Inequivalent atoms, fractional coordinates:
Na1 0.0000 0.5000 0.0000 x9
Pm1 0.0000 0.5000 0.5000 x9
Pu1 0.0000 0.0000 0.5000 x3
S1 0.0000 0.0000 0.2440 x6
S2 0.0141 0.5070 0.2404 x18

***

A plane-wave DFT calculation with PBE was carried out for a relaxed structure of PmCdIr.

Raw total energy = -5.2050 eV per atom
V = 25.30 A^3/atom
E_form = -0.36 eV per atom
M_tot = 0.000 μB/atom
Crystal system = cubic
Calculated density = 9.84 g/cm3

Unit cell a=6.7213 b=6.7213 c=6.7213 alpha=90.00 beta=90.00 gamma=90.00
Space group F-43m (No. 216)
Inequivalent atoms, fractional coordinates:
Pm1 0.0000 0.0000 0.0000 x4
Cd1 0.0000 0.0000 0.5000 x4
Ir1 0.2500 0.2500 0.2500 x4

***

A plane-wave DFT calculation with PBE was carried out for a relaxed structure of Ge2IrOs.

Raw total energy = -6.7588 eV per atom
V = 21.31 A^3/atom
E_form = 0.57 eV per atom
M_tot = 0.000 μB/atom
Crystal system = tetragonal
Calculated density = 10.28 g/cm3

Unit cell a=5.5346 b=5.5346 c=11.1287 alpha=90.00 beta=90.00 gamma=90.00
Space group I-42d (No. 122)
Inequivalent atoms, fractional coordinates:
Ge1 0.2492 0.2500 0.1250 x8
Ir1 0.0000 0.0000 0.5000 x4
Os1 0.0000 0.0000 0.0000 x4

***

A plane-wave DFT calculation with PBE was carried out for a relaxed structure of FePt3I.

Raw total energy = -4.6938 eV per atom
V = 20.79 A^3/atom
M_tot = 0.784 μB/atom
Crystal system = cubic
Calculated density = 12.27 g/cm3
Formation energy (no corrections) = 933 meV/atom

Unit cell a=4.7018 b=4.7018 c=4.7018 alpha=90.00 beta=90.00 gamma=90.00
Space group Pm-3m (No. 221)
Inequivalent atoms, fractional coordinates:
Fe1 0.0000 0.0000 0.0000 x1
Pt1 0.0000 0.0000 0.5000 x3
I1 0.5000 0.5000 0.5000 x1